--- A ---
DFT (GGA-PBE) results for a relaxed structure of SrP2OsRu.

Summary:
ρ in kg/m3: 7799
Density of states at the Fermi level in states/eV/cell: 1.66
Symmetry: No. 119
Size of the total moment in μB/f.u.: 0.000

Cell: 6.355 6.355 6.355 Å, 142.65 142.65 53.85°
Positions (direct):
Sr1 0.000 0.000 0.000
P1 0.351 0.351 0.000
P2 0.649 0.649 0.000
Os1 0.750 0.250 0.500
Ru1 0.250 0.750 0.500

***

--- B ---
DFT (GGA-PBE) results for a relaxed structure of SrP2OsRu.

Summary:
ρ in kg/m3: 6164
Density of states at the Fermi level in states/eV/cell: 8.93
Symmetry: No. 123
Size of the total moment in μB/f.u.: 0.007

Cell: 5.046 5.046 4.666 Å, 90.00 90.00 90.00°
Positions (direct):
Sr1 0.000 0.000 0.000
P1 0.000 0.500 0.000
P2 0.500 0.000 0.000
Os1 0.500 0.500 0.500
Ru1 0.000 0.000 0.500

***

Which is most stable? The ranking, best first, is A, B.

***

--- A ---
DFT (GGA-PBE) results for a relaxed structure of POsS3.

Summary:
ρ in kg/m3: 5505
Density of states at the Fermi level in states/eV/cell: 6.06
Symmetry: No. 221
Size of the total moment in μB/f.u.: 0.000

Cell: 4.575 4.575 4.575 Å, 90.00 90.00 90.00°
Positions (direct):
P1 0.000 0.000 0.000
Os1 0.500 0.500 0.500
S1 0.000 0.500 0.500
S2 0.500 0.000 0.500
S3 0.500 0.500 0.000

***

--- B ---
DFT (GGA-PBE) results for a relaxed structure of POsS3.

Summary:
ρ in kg/m3: 6601
Density of states at the Fermi level in states/eV/cell: 3.71
Symmetry: No. 221
Size of the total moment in μB/f.u.: 0.000

Cell: 4.306 4.306 4.306 Å, 90.00 90.00 90.00°
Positions (direct):
P1 0.000 0.000 0.000
Os1 0.500 0.500 0.500
S1 0.000 0.000 0.500
S2 0.000 0.500 0.000
S3 0.500 0.000 0.000

***

Which is most stable? The ranking, best first, is A, B.

***

--- A ---
DFT (GGA-PBE) results for a relaxed structure of POs2S.

Summary:
ρ in kg/m3: 10386
Density of states at the Fermi level in states/eV/cell: 1.76
Symmetry: No. 122
Size of the total moment in μB/f.u.: 0.000

Cell: 6.380 6.380 6.380 Å, 131.70 131.70 70.70°
Positions (direct):
P1 0.000 0.000 0.000
P2 0.750 0.250 0.500
Os1 0.128 0.625 0.003
Os2 0.375 0.378 0.503
Os3 0.622 0.125 0.997
Os4 0.875 0.872 0.497
S1 0.250 0.750 0.500
S2 0.500 0.500 0.000

***

--- B ---
DFT (GGA-PBE) results for a relaxed structure of POs2S.

Summary:
ρ in kg/m3: 13878
Density of states at the Fermi level in states/eV/cell: 2.46
Symmetry: No. 225
Size of the total moment in μB/f.u.: 0.000

Cell: 4.218 4.218 4.218 Å, 60.00 60.00 60.00°
Positions (direct):
P1 0.000 0.000 0.000
Os1 0.250 0.250 0.250
Os2 0.750 0.750 0.750
S1 0.500 0.500 0.500

***

Which is most stable? The ranking, best first, is A, B.

***

--- A ---
DFT (GGA-PBE) results for a relaxed structure of P3OsS.

Summary:
ρ in kg/m3: 5455
Density of states at the Fermi level in states/eV/cell: 4.39
Symmetry: No. 221
Size of the total moment in μB/f.u.: 0.000

Cell: 4.578 4.578 4.578 Å, 90.00 90.00 90.00°
Positions (direct):
P1 0.000 0.000 0.500
P2 0.000 0.500 0.000
P3 0.500 0.000 0.000
Os1 0.000 0.000 0.000
S1 0.500 0.500 0.500

***

--- B ---
DFT (GGA-PBE) results for a relaxed structure of P3OsS.

Summary:
ρ in kg/m3: 6894
Density of states at the Fermi level in states/eV/cell: 2.27
Symmetry: No. 221
Size of the total moment in μB/f.u.: 0.000

Cell: 4.234 4.234 4.234 Å, 90.00 90.00 90.00°
Positions (direct):
P1 0.000 0.000 0.500
P2 0.000 0.500 0.000
P3 0.500 0.000 0.000
Os1 0.500 0.500 0.500
S1 0.000 0.000 0.000

***

Which is most stable? The ranking, best first, is A, B.

***

--- A ---
DFT (GGA-PBE) results for a relaxed structure of P2OsS2.

Summary:
ρ in kg/m3: 6672
Density of states at the Fermi level in states/eV/cell: 3.36
Symmetry: No. 123
Size of the total moment in μB/f.u.: 0.000

Cell: 4.277 4.277 4.305 Å, 90.00 90.00 90.00°
Positions (direct):
P1 0.000 0.000 0.000
P2 0.000 0.000 0.500
Os1 0.500 0.500 0.000
S1 0.000 0.500 0.500
S2 0.500 0.000 0.500

***

--- B ---
DFT (GGA-PBE) results for a relaxed structure of P2OsS2.

Summary:
ρ in kg/m3: 5432
Density of states at the Fermi level in states/eV/cell: 4.38
Symmetry: No. 123
Size of the total moment in μB/f.u.: 0.000

Cell: 4.479 4.479 4.821 Å, 90.00 90.00 90.00°
Positions (direct):
P1 0.000 0.000 0.000
P2 0.500 0.500 0.000
Os1 0.000 0.000 0.500
S1 0.000 0.500 0.500
S2 0.500 0.000 0.500

***

Which is most stable? The ranking, best first, is B, A.

***

--- A ---
DFT (GGA-PBE) results for a relaxed structure of SrP2OsS.

Summary:
ρ in kg/m3: 5513
Density of states at the Fermi level in states/eV/cell: 3.23
Symmetry: No. 123
Size of the total moment in μB/f.u.: 0.000

Cell: 4.494 4.494 5.545 Å, 90.00 90.00 90.00°
Positions (direct):
Sr1 0.000 0.000 0.000
P1 0.000 0.500 0.500
P2 0.500 0.000 0.500
Os1 0.500 0.500 0.500
S1 0.500 0.500 0.000

***

--- B ---
DFT (GGA-PBE) results for a relaxed structure of SrP2OsS.

Summary:
ρ in kg/m3: 4453
Density of states at the Fermi level in states/eV/cell: 11.20
Symmetry: No. 123
Size of the total moment in μB/f.u.: 0.000

Cell: 5.180 5.180 5.168 Å, 90.00 90.00 90.00°
Positions (direct):
Sr1 0.000 0.000 0.000
P1 0.000 0.500 0.000
P2 0.500 0.000 0.000
Os1 0.500 0.500 0.500
S1 0.000 0.000 0.500

***

Which is most stable? The ranking, best first, is A, B.